Computed, not measured: crystalline GeSbTe3 at its relaxed geometry at the PBE level of DFT.

* raw total energy: -2.95 eV per atom
* energy above the most stable polymorph in this dataset: 0.7547 eV per atom

Cell lengths 5.7182, 5.7182, 5.7182 Å; angles 90.00, 90.00, 90.00 degrees
With the nearest neighbours (Å) after each atom.
Space group Pm-3m (No. 221)
One atom of each set of equivalent atoms:
Ge  0.0000  0.0000  0.0000  12 Te 4.04
Sb  0.5000  0.5000  0.5000  6 Te 2.86
Te  0.0000  0.5000  0.5000  2 Sb 2.86